Entry 1
# SrB4Pt6 (GGA-PBE, optimized geometry)
data_SrB4Pt6
_cell_length_a 6.1978
_cell_length_b 6.1978
_cell_length_c 5.3157
_cell_angle_alpha 90.00
_cell_angle_beta 90.00
_cell_angle_gamma 120.00
_symmetry_space_group_name_H-M 'P 1'
_symmetry_Int_Tables_number 1
loop_
_symmetry_equiv_pos_as_xyz
'x,y,z'
loop_
_atom_site_label
_atom_site_fract_x
_atom_site_fract_y
_atom_site_fract_z
Pt1 0.0350 0.5175 0.7508
Pt2 0.9650 0.4825 0.2492
Pt3 0.4825 0.9650 0.7508
Pt4 0.4825 0.5175 0.7508
Pt5 0.5175 0.0350 0.2492
Pt6 0.5175 0.4825 0.2492
B1 0.3333 0.6667 0.4243
B2 0.6667 0.3333 0.9265
B3 0.6667 0.3333 0.5757
B4 0.3333 0.6667 0.0735
Sr1 0.0000 0.0000 0.5000
# SG = P-3m1
# Calculated density = 12.2 g/cm³

---

Entry 2
# SrB4Pt6 (GGA-PBE, optimized geometry)
data_SrB4Pt6
_cell_length_a 6.3699
_cell_length_b 6.3700
_cell_length_c 8.8358
_cell_angle_alpha 46.74
_cell_angle_beta 46.74
_cell_angle_gamma 68.39
_symmetry_space_group_name_H-M 'P 1'
_symmetry_Int_Tables_number 1
loop_
_symmetry_equiv_pos_as_xyz
'x,y,z'
loop_
_atom_site_label
_atom_site_fract_x
_atom_site_fract_y
_atom_site_fract_z
Pt1 0.3720 0.3720 0.5477
Pt2 0.9863 0.5427 0.8729
Pt3 0.8479 0.4689 0.6311
Pt4 0.3633 0.3633 0.2343
Pt5 0.5427 0.9863 0.8729
Pt6 0.4689 0.8479 0.6311
Sr1 0.8697 0.8697 0.1131
B1 0.6833 0.2730 0.2804
B2 0.2730 0.6833 0.2804
B3 0.6666 0.6666 0.8056
B4 0.4265 0.4265 0.7303
# SG = Cm
# Calculated density = 11.6 g/cm³

---

The most stable of them is entry 1.

---

Entry 1
# Sr2BTePt (GGA-PBE, optimized geometry)
data_Sr2BTePt
_cell_length_a 5.7446
_cell_length_b 5.7446
_cell_length_c 4.0347
_cell_angle_alpha 90.00
_cell_angle_beta 90.00
_cell_angle_gamma 90.00
_symmetry_space_group_name_H-M 'P 1'
_symmetry_Int_Tables_number 1
loop_
_symmetry_equiv_pos_as_xyz
'x,y,z'
loop_
_atom_site_label
_atom_site_fract_x
_atom_site_fract_y
_atom_site_fract_z
Sr1 0.5000 0.0000 0.0000
Sr2 0.0000 0.5000 0.0000
Pt1 0.0000 0.0000 0.5000
B1 0.0000 0.0000 0.0000
Te1 0.5000 0.5000 0.5000
# SG = P4/mmm
# Calculated density = 6.3 g/cm³

---

Entry 2
# Sr2BTePt (GGA-PBE, optimized geometry)
data_Sr2BTePt
_cell_length_a 5.9200
_cell_length_b 5.9200
_cell_length_c 4.0858
_cell_angle_alpha 90.00
_cell_angle_beta 90.00
_cell_angle_gamma 90.00
_symmetry_space_group_name_H-M 'P 1'
_symmetry_Int_Tables_number 1
loop_
_symmetry_equiv_pos_as_xyz
'x,y,z'
loop_
_atom_site_label
_atom_site_fract_x
_atom_site_fract_y
_atom_site_fract_z
Pt1 0.0000 0.0000 0.0000
Sr1 0.5000 0.0000 0.0000
Sr2 0.0000 0.5000 0.0000
Te1 0.5000 0.5000 0.5000
B1 0.0000 0.0000 0.5000
# SG = P4/mmm
# Calculated density = 5.9 g/cm³

---

The most stable of them is entry 1.